[1]
# SrAsW4

SrAsW4 after structural relaxation (GGA-PBE, the Alexandria database).

abc: 5.5030 5.5030 5.5030
angles: 60.00 60.00 60.00
Positions (direct):
W 0.3745 0.8764 0.3745
W 0.3745 0.3745 0.8764
W 0.3745 0.3745 0.3745
W 0.8764 0.3745 0.3745
Sr 0.0000 0.0000 0.0000
As 0.7500 0.7500 0.7500

SG: No. 216
ΔH_f (0 K): 903 meV/atom
Size of the total moment: 0.00 μB per atom

[2]
# Ge3BOs

Ge3BOs after structural relaxation (GGA-PBE, the Alexandria database).

abc: 4.7687 4.7687 4.7687
angles: 90.00 90.00 90.00
Positions (direct):
Ge 0.0000 0.0000 0.5000
Ge 0.5000 0.0000 0.0000
Ge 0.0000 0.5000 0.0000
Os 0.0000 0.0000 0.0000
B 0.5000 0.5000 0.5000

SG: No. 221
ΔH_f (0 K): 1203 meV/atom
E above lowest polymorph: 0.096 eV/atom
Size of the total moment: 0.00 μB per atom

- Which formula does entry 2 have?
  Ge3BOs

Please write out number 1 again, unchanged.
# SrAsW4

SrAsW4 after structural relaxation (GGA-PBE, the Alexandria database).

abc: 5.5030 5.5030 5.5030
angles: 60.00 60.00 60.00
Positions (direct):
W 0.3745 0.8764 0.3745
W 0.3745 0.3745 0.8764
W 0.3745 0.3745 0.3745
W 0.8764 0.3745 0.3745
Sr 0.0000 0.0000 0.0000
As 0.7500 0.7500 0.7500

SG: No. 216
ΔH_f (0 K): 903 meV/atom
Size of the total moment: 0.00 μB per atom